<1>
BeCl3F | PBE | optimized geometry

Calculated values
DOS(E_F): 0.562 states/eV/atom
crystal system: cubic
volume: 98.4 Å³ per cell

Unit cell a=4.6169 b=4.6169 c=4.6169 alpha=90.00 beta=90.00 gamma=90.00
Fractional coordinates of all 5 atoms:
Be: 0.0000 0.0000 0.0000
Cl: 0.0000 0.5000 0.5000
Cl: 0.5000 0.0000 0.5000
Cl: 0.5000 0.5000 0.0000
F: 0.5000 0.5000 0.5000

<2>
BeCl3F | PBE | optimized geometry

Calculated values
DOS(E_F): 1.039 states/eV/atom
crystal system: cubic
volume: 87.9 Å³ per cell

Unit cell a=4.4468 b=4.4468 c=4.4468 alpha=90.00 beta=90.00 gamma=90.00
Fractional coordinates of all 5 atoms:
Be: 0.0000 0.0000 0.0000
Cl: 0.0000 0.0000 0.5000
Cl: 0.0000 0.5000 0.0000
Cl: 0.5000 0.0000 0.0000
F: 0.5000 0.5000 0.5000

Winner for stability: <2>

<1>
Be2ClF | PBE | optimized geometry

Calculated values
DOS(E_F): 0.235 states/eV/atom
crystal system: tetragonal
volume: 109.9 Å³ per cell

Unit cell a=6.6851 b=6.6851 c=6.6851 alpha=142.51 beta=142.51 gamma=54.06
Fractional coordinates of all 8 atoms:
Be: 0.0085 0.6250 0.8835
Be: 0.3750 0.2585 0.3835
Be: 0.7415 0.1250 0.1165
Be: 0.8750 0.9915 0.6165
Cl: 0.2500 0.7500 0.5000
Cl: 0.5000 0.5000 0.0000
F: 0.0000 0.0000 0.0000
F: 0.7500 0.2500 0.5000

<2>
Be2ClF | PBE | optimized geometry

Calculated values
DOS(E_F): 0.611 states/eV/atom
crystal system: cubic
volume: 49.7 Å³ per cell

Unit cell a=4.1257 b=4.1257 c=4.1257 alpha=60.00 beta=60.00 gamma=60.00
Fractional coordinates of all 4 atoms:
Be: 0.2500 0.2500 0.2500
Be: 0.7500 0.7500 0.7500
Cl: 0.0000 0.0000 0.0000
F: 0.5000 0.5000 0.5000

Winner for stability: <1>

<1>
Be2FeCl | PBE | optimized geometry

Calculated values
DOS(E_F): 0.725 states/eV/atom
crystal system: tetragonal
volume: 49.8 Å³ per cell

Unit cell a=5.3828 b=5.3828 c=5.3828 alpha=145.50 beta=145.50 gamma=49.59
Fractional coordinates of all 4 atoms:
Be: 0.0000 0.0000 0.0000
Be: 0.7500 0.2500 0.5000
Fe: 0.5000 0.5000 0.0000
Cl: 0.2500 0.7500 0.5000

<2>
Be2FeCl | PBE | optimized geometry

Calculated values
DOS(E_F): 0.584 states/eV/atom
crystal system: monoclinic
volume: 56.6 Å³ per cell

Unit cell a=3.8684 b=3.8684 c=5.5650 alpha=96.47 beta=96.47 gamma=43.18
Fractional coordinates of all 4 atoms:
Be: 0.0000 0.0000 0.0000
Be: 0.7295 0.7295 0.1538
Fe: 0.4599 0.4599 0.3000
Cl: 0.0271 0.0271 0.6444

Winner for stability: <2>